This record from Alexandria describes MgCd2Si after structural relaxation. The functional is PBE-GGA.

It has space group I-4m2 (No. 119), with a = 4.327 Å, b = 4.327 Å, c = 8.717 Å, α = 90.00°, β = 90.00° and γ = 90.00°. Symmetry generates all atoms from Mg at (0.000, 0.000, 0.000), Cd at (0.000, 0.000, 0.500), Cd at (0.000, 0.500, 0.250) and Si at (0.000, 0.500, 0.750).

Its offset from the most stable computed form is 0.036 eV/atom.

---

This record from Alexandria describes Mg2CdSi after structural relaxation. The functional is PBE-GGA.

It has space group I-42d (No. 122), with a = 4.299 Å, b = 4.299 Å, c = 19.065 Å, α = 90.00°, β = 90.00° and γ = 90.00°. Symmetry generates all atoms from Mg at (0.241, 0.250, 0.125), Cd at (0.000, 0.000, 0.500) and Si at (0.000, 0.000, 0.000).

---

This record from Alexandria describes Mg2CdSi after structural relaxation. The functional is PBE-GGA.

It has space group Pmm2 (No. 25), with a = 3.318 Å, b = 4.181 Å, c = 5.825 Å, α = 90.00°, β = 90.00° and γ = 90.00°. Symmetry generates all atoms from Mg at (0.000, 0.000, 0.000), Mg at (0.500, 0.500, 0.284), Cd at (0.500, 0.500, 0.770) and Si at (0.000, 0.000, 0.492).

---

This record from Alexandria describes Mg2CdSi after structural relaxation. The functional is PBE-GGA.

It has space group P4mm (No. 99), with a = 3.126 Å, b = 3.126 Å, c = 8.453 Å, α = 90.00°, β = 90.00° and γ = 90.00°. Symmetry generates all atoms from Mg at (0.000, 0.000, 0.000), Mg at (0.500, 0.500, 0.280), Cd at (0.500, 0.500, 0.735) and Si at (0.000, 0.000, 0.494).

---

This record from Alexandria describes MgCd2Si after structural relaxation. The functional is PBE-GGA.

It has space group P2/m (No. 10), with a = 3.012 Å, b = 5.544 Å, c = 5.003 Å, α = 90.00°, β = 94.30° and γ = 90.00°. Symmetry generates all atoms from Mg at (0.000, 0.000, 0.000), Cd at (0.271, 0.500, 0.249) and Si at (0.500, 0.000, 0.500).

Its offset from the most stable computed form is 0.037 eV/atom.

---

This record from Alexandria describes Mg2CdSi after structural relaxation. The functional is PBE-GGA.

It has space group F-43m (No. 216), with a = 6.907 Å, b = 6.907 Å, c = 6.907 Å, α = 90.00°, β = 90.00° and γ = 90.00°. Symmetry generates all atoms from Mg at (0.000, 0.000, 0.000), Mg at (0.250, 0.250, 0.250), Cd at (0.000, 0.000, 0.500) and Si at (0.250, 0.250, 0.750).

---

Record-wise electronic total energy values, in eV/atom: -2.064; -2.142; -2.297; -2.243; -2.064; -2.203
Record-wise N(E_F) values, in states/eV/cell: 3.0; 7.3; 0.9; 1.7; 0.9; 6.7
Record-wise ΔE_f (raw) values, in eV per atom: 0.15; 0.24; 0.08; 0.14; 0.15; 0.18